Entry 1:
This record from the Alexandria database describes a relaxed Ac8Mg2Cd crystal. The functional is PBE.

abc: 5.8173 7.8005 10.4557
angles: 104.80 106.15 90.00
Sites, in units of the cell vectors:
Mg 0.1884 0.7186 0.3767
Mg 0.8116 0.2814 0.6233
Ac 0.9768 0.2336 0.9535
Ac 0.0232 0.7664 0.0465
Ac 0.8036 0.7082 0.6072
Ac 0.3377 0.0426 0.6755
Ac 0.1964 0.2918 0.3928
Ac 0.4067 0.5441 0.8135
Ac 0.6623 0.9574 0.3245
Ac 0.5933 0.4559 0.1865
Cd 0.5000 0.0000 0.0000

## Properties
- Raw total energy: -3.373 eV/atom
- Formation energy from the elements: -1.1 kJ/mol of atoms
- Fermi-level density of states: 12.027 states/eV/f.u.
- Magnetization: 0.000 μB/atom



Entry 2:
This record from the Alexandria database describes a relaxed HPtI2 crystal. The functional is PBE.

abc: 4.9855 4.9855 4.9855
angles: 60.00 60.00 60.00
Sites, in units of the cell vectors:
I 0.2500 0.2500 0.2500
I 0.7500 0.7500 0.7500
H 0.0000 0.0000 0.0000
Pt 0.5000 0.5000 0.5000

## Properties
- Raw total energy: -2.101 eV/atom
- Fermi-level density of states: 10.084 states/eV/f.u.
- Relative energy among the computed polymorphs: 17.536 kcal/mol of atoms
- Magnetization: 0.571 μB/atom



Entry 3:
This record from the Alexandria database describes a relaxed NaLi2SnHg4 crystal. The functional is PBE.

abc: 4.9776 4.9776 8.9078
angles: 73.78 73.78 60.00
Sites, in units of the cell vectors:
Hg 0.6281 0.6281 0.1156
Hg 0.3719 0.3719 0.8844
Hg 0.8811 0.8811 0.3568
Hg 0.1189 0.1189 0.6432
Sn 0.5000 0.5000 0.5000
Li 0.2439 0.2439 0.2682
Li 0.7561 0.7561 0.7318
Na 0.0000 0.0000 0.0000

## Properties
- Raw total energy: -1.522 eV/atom
- Formation energy from the elements: -21.9 kJ/mol of atoms
- Fermi-level density of states: 2.046 states/eV/f.u.
- Magnetization: 0.000 μB/atom



Entry 4:
This record from the Alexandria database describes a relaxed RbPaAuSe4 crystal. The functional is PBE.

abc: 7.3206 5.8169 10.0240
angles: 90.00 110.68 90.00
Sites, in units of the cell vectors:
Pa 0.7255 0.7500 0.4485
Pa 0.2745 0.2500 0.5515
Se 0.9624 0.4872 0.3127
Se 0.9624 0.0128 0.3127
Se 0.5674 0.2500 0.4200
Se 0.5188 0.2500 0.8339
Se 0.0376 0.5128 0.6873
Se 0.0376 0.9872 0.6873
Se 0.4326 0.7500 0.5800
Se 0.4812 0.7500 0.1661
Au 0.2464 0.7500 0.2937
Au 0.7536 0.2500 0.7063
Rb 0.2405 0.2500 0.0481
Rb 0.7595 0.7500 0.9519

## Properties
- Raw total energy: -4.914 eV/atom
- Fermi-level density of states: 1.859 states/eV/f.u.
- Energy relative to the elements, uncorrected: -0.960 eV/atom
- Magnetization: 0.000 μB/atom



Entry 5:
This record from the Alexandria database describes a relaxed CeNd7In4 crystal. The functional is PBE.

abc: 5.7744 9.5612 7.9694
angles: 75.22 68.76 72.42
Sites, in units of the cell vectors:
Nd 0.0638 0.6046 0.2679
Nd 0.5000 0.0000 0.0000
Nd 0.7213 0.3372 0.2201
Nd 0.9362 0.3955 0.7321
Nd 0.2050 0.1182 0.4718
Nd 0.2787 0.6628 0.7799
Nd 0.7950 0.8818 0.5282
Ce 0.0000 0.0000 0.0000
In 0.5574 0.2465 0.6386
In 0.3203 0.3338 0.0256
In 0.6797 0.6662 0.9744
In 0.4426 0.7535 0.3614

## Properties
- Raw total energy: -4.320 eV/atom
- Formation energy from the elements: -12.7 kJ/mol of atoms
- Fermi-level density of states: 15.713 states/eV/f.u.
- Magnetization: 0.101 μB/atom



Entry 6:
This record from the Alexandria database describes a relaxed Nd2YHgC crystal. The functional is PBE.

abc: 4.8539 5.1479 5.1479
angles: 90.00 90.00 90.00
Sites, in units of the cell vectors:
C 0.0000 0.0000 0.0000
Nd 0.0000 0.0000 0.5000
Nd 0.0000 0.5000 0.0000
Hg 0.5000 0.5000 0.5000
Y 0.5000 0.0000 0.0000

## Properties
- Raw total energy: -5.372 eV/atom
- Formation energy from the elements: -25.7 kJ/mol of atoms
- Fermi-level density of states: 5.084 states/eV/f.u.
- Magnetization: 0.000 μB/atom